# 1
Below is MgGaTcW after structural relaxation, with properties calculated at the GGA-PBE level.

a = 4.421 Å, b = 4.421 Å, c = 4.421 Å
α = 60.00°, β = 60.00°, γ = 60.00°
Element x y z (fractional)
1 Mg 0.000 0.000 0.000
2 Ga 0.250 0.250 0.250
3 Tc 0.500 0.500 0.500
4 W 0.750 0.750 0.750

Summary:
Raw total energy (eV/atom): -6.94
Energy above the most stable polymorph in this dataset (meV/atom): 0

# 2
Below is Zr4BeN2 after structural relaxation, with properties calculated at the GGA-PBE level.

a = 5.764 Å, b = 5.764 Å, c = 11.498 Å
α = 90.00°, β = 90.00°, γ = 146.58°
Element x y z (fractional)
1 Zr 0.000 0.000 0.000
2 Zr 0.000 0.000 0.500
3 Zr 0.264 0.736 0.610
4 Zr 0.264 0.736 0.890
5 Zr 0.433 0.567 0.250
6 Zr 0.567 0.433 0.750
7 Zr 0.736 0.264 0.110
8 Zr 0.736 0.264 0.390
9 Be 0.112 0.888 0.250
10 Be 0.888 0.112 0.750
11 N 0.366 0.634 0.062
12 N 0.366 0.634 0.438
13 N 0.634 0.366 0.562
14 N 0.634 0.366 0.938

Summary:
Raw total energy (eV/atom): -8.88

# 3
Below is Dy3CoS after structural relaxation, with properties calculated at the GGA-PBE level.

a = 7.109 Å, b = 7.109 Å, c = 7.109 Å
α = 121.29°, β = 121.29°, γ = 87.78°
Element x y z (fractional)
1 Dy 0.160 0.660 0.819
2 Dy 0.250 0.250 0.000
3 Dy 0.340 0.160 0.500
4 Dy 0.660 0.840 0.500
5 Dy 0.750 0.750 0.000
6 Dy 0.840 0.340 0.181
7 Co 0.000 0.000 0.000
8 Co 0.500 0.500 0.000
9 S 0.250 0.750 0.500
10 S 0.750 0.250 0.500

Summary:
Raw total energy (eV/atom): -5.49

# 4
Below is NdThCo after structural relaxation, with properties calculated at the GGA-PBE level.

a = 4.780 Å, b = 4.780 Å, c = 4.780 Å
α = 60.00°, β = 60.00°, γ = 60.00°
Element x y z (fractional)
1 Nd 0.000 0.000 0.000
2 Th 0.250 0.250 0.250
3 Co 0.500 0.500 0.500

Summary:
Raw total energy (eV/atom): -5.67
Energy of formation from the pure elements (kJ per mole of atoms): 73
Energy above the most stable polymorph in this dataset (meV/atom): 0

# 5
Below is Tb4Ga12Ir after structural relaxation, with properties calculated at the GGA-PBE level.

a = 7.459 Å, b = 7.459 Å, c = 7.459 Å
α = 109.47°, β = 109.47°, γ = 109.47°
Element x y z (fractional)
1 Tb 0.000 0.000 0.500
2 Tb 0.000 0.500 0.000
3 Tb 0.500 0.000 0.000
4 Tb 0.500 0.500 0.500
5 Ga 0.000 0.293 0.293
6 Ga 0.000 0.707 0.707
7 Ga 0.250 0.500 0.750
8 Ga 0.250 0.750 0.500
9 Ga 0.293 0.000 0.293
10 Ga 0.293 0.293 0.000
11 Ga 0.500 0.250 0.750
12 Ga 0.500 0.750 0.250
13 Ga 0.707 0.000 0.707
14 Ga 0.707 0.707 0.000
15 Ga 0.750 0.250 0.500
16 Ga 0.750 0.500 0.250
17 Ir 0.000 0.000 0.000

Summary:
Raw total energy (eV/atom): -4.36

# 6
Below is SmNbNO after structural relaxation, with properties calculated at the GGA-PBE level.

a = 3.758 Å, b = 6.010 Å, c = 5.752 Å
α = 90.00°, β = 90.00°, γ = 90.00°
Element x y z (fractional)
1 Sm 0.000 0.175 0.000
2 Sm 0.000 0.825 0.500
3 Nb 0.500 0.311 0.516
4 Nb 0.500 0.689 0.016
5 N 0.500 0.393 0.847
6 N 0.500 0.607 0.347
7 O 0.000 0.214 0.409
8 O 0.000 0.786 0.909

Summary:
Raw total energy (eV/atom): -8.47
Energy above the most stable polymorph in this dataset (meV/atom): 254